--- 1 ---
VASP calculation (PBE) on crystalline Ca2TaMo at its relaxed geometry.

Cell: 6.2516 6.2516 6.2516 Å, 148.78 125.98 63.72°
Sites, in units of the cell vectors:
Ca (0.0000, 0.0000, 0.0000)
Ca (0.7052, 0.2052, 0.5000)
Ta (0.2793, 0.7793, 0.5000)
Mo (0.4498, 0.4498, 0.0000)

Results
Space-group type = No. 44
N(E_F) = 1.484 states/eV/atom

--- 2 ---
VASP calculation (PBE) on crystalline Ca2TaMo at its relaxed geometry.

Cell: 2.8858 2.8858 10.6766 Å, 90.00 90.00 100.23°
Sites, in units of the cell vectors:
Ca (0.0000, 0.0000, 0.2408)
Ca (0.0000, 0.0000, 0.7592)
Ta (0.5000, 0.5000, 0.5000)
Mo (0.5000, 0.5000, 0.0000)

Results
Space-group type = No. 65
N(E_F) = 0.936 states/eV/atom

--- 3 ---
VASP calculation (PBE) on crystalline Ca2TaMo at its relaxed geometry.

Cell: 6.5331 6.5331 6.5331 Å, 100.39 100.39 129.74°
Sites, in units of the cell vectors:
Ca (0.1080, 0.6250, 0.9830)
Ca (0.3750, 0.3580, 0.4830)
Ca (0.6420, 0.1250, 0.0170)
Ca (0.8750, 0.8920, 0.5170)
Ta (0.2500, 0.7500, 0.5000)
Ta (0.5000, 0.5000, 0.0000)
Mo (0.0000, 0.0000, 0.0000)
Mo (0.7500, 0.2500, 0.5000)

Results
Space-group type = No. 122
N(E_F) = 0.858 states/eV/atom

Which of them is the most stable? Correct choice: 1.

--- 1 ---
VASP calculation (PBE) on crystalline Ca2TaMo at its relaxed geometry.

Cell: 4.9773 4.9773 4.9773 Å, 119.91 119.91 90.15°
Sites, in units of the cell vectors:
Ca (0.0000, 0.0000, 0.0000)
Ca (0.7500, 0.2500, 0.5000)
Ta (0.5000, 0.5000, 0.0000)
Mo (0.2500, 0.7500, 0.5000)

Results
Space-group type = No. 119
N(E_F) = 1.038 states/eV/atom

--- 2 ---
VASP calculation (PBE) on crystalline Ca2TaMo at its relaxed geometry.

Cell: 3.2039 3.2039 10.4571 Å, 90.00 90.00 113.06°
Sites, in units of the cell vectors:
Ca (0.0000, 0.0000, 0.0000)
Ca (0.5000, 0.5000, 0.3258)
Ta (0.0000, 0.0000, 0.5866)
Mo (0.5000, 0.5000, 0.7608)

Results
Space-group type = No. 35
N(E_F) = 0.973 states/eV/atom

Which of them is the most stable? Correct choice: 2.

--- 1 ---
VASP calculation (PBE) on crystalline Ca2TaMo2 at its relaxed geometry.

Cell: 6.6090 6.6090 5.3323 Å, 90.00 90.00 90.00°
Sites, in units of the cell vectors:
Ca (0.1767, 0.3233, 0.0000)
Ca (0.3233, 0.8233, 0.0000)
Ca (0.6767, 0.1767, 0.0000)
Ca (0.8233, 0.6767, 0.0000)
Ta (0.0000, 0.0000, 0.5000)
Ta (0.5000, 0.5000, 0.5000)
Mo (0.1315, 0.6315, 0.5000)
Mo (0.3685, 0.1315, 0.5000)
Mo (0.6315, 0.8685, 0.5000)
Mo (0.8685, 0.3685, 0.5000)

Results
Space-group type = No. 127
N(E_F) = 0.875 states/eV/atom

--- 2 ---
VASP calculation (PBE) on crystalline Ca2TaMo2 at its relaxed geometry.

Cell: 7.6838 7.6838 7.6838 Å, 150.45 150.45 42.28°
Sites, in units of the cell vectors:
Ca (0.2500, 0.7500, 0.5000)
Ca (0.7500, 0.2500, 0.5000)
Ta (0.0000, 0.0000, 0.0000)
Mo (0.4227, 0.4227, 0.0000)
Mo (0.5773, 0.5773, 0.0000)

Results
Space-group type = No. 139
N(E_F) = 0.978 states/eV/atom

Which of them is the most stable? Correct choice: 1.

--- 1 ---
VASP calculation (PBE) on crystalline Ca2Ta2Mo at its relaxed geometry.

Cell: 6.6597 6.6597 5.5095 Å, 90.00 90.00 90.00°
Sites, in units of the cell vectors:
Ca (0.1767, 0.3233, 0.0000)
Ca (0.3233, 0.8233, 0.0000)
Ca (0.6767, 0.1767, 0.0000)
Ca (0.8233, 0.6767, 0.0000)
Ta (0.1471, 0.6471, 0.5000)
Ta (0.3529, 0.1471, 0.5000)
Ta (0.6471, 0.8529, 0.5000)
Ta (0.8529, 0.3529, 0.5000)
Mo (0.0000, 0.0000, 0.5000)
Mo (0.5000, 0.5000, 0.5000)

Results
Space-group type = No. 127
N(E_F) = 1.977 states/eV/atom

--- 2 ---
VASP calculation (PBE) on crystalline Ca2Ta2Mo at its relaxed geometry.

Cell: 8.0592 8.0592 8.0592 Å, 152.48 152.48 39.31°
Sites, in units of the cell vectors:
Ca (0.2500, 0.7500, 0.5000)
Ca (0.7500, 0.2500, 0.5000)
Ta (0.0798, 0.0798, 0.0000)
Ta (0.9202, 0.9202, 0.0000)
Mo (0.5000, 0.5000, 0.0000)

Results
Space-group type = No. 139
N(E_F) = 1.060 states/eV/atom

Which of them is the most stable? Correct choice: 1.

--- 1 ---
VASP calculation (PBE) on crystalline CaTaMo at its relaxed geometry.

Cell: 8.0646 8.0646 8.0646 Å, 160.10 160.10 28.29°
Sites, in units of the cell vectors:
Ca (0.0000, 0.0000, 0.0000)
Ta (0.6843, 0.6843, 0.0000)
Mo (0.3309, 0.3309, 0.0000)

Results
Space-group type = No. 107
N(E_F) = 1.204 states/eV/atom

--- 2 ---
VASP calculation (PBE) on crystalline CaTaMo at its relaxed geometry.

Cell: 7.8148 7.5745 3.0536 Å, 83.01 74.17 22.82°
Sites, in units of the cell vectors:
Ca (0.0000, 0.0000, 0.0000)
Ta (0.6927, 0.6927, 0.3073)
Mo (0.3234, 0.3234, 0.6766)

Results
Space-group type = No. 42
N(E_F) = 0.912 states/eV/atom

--- 3 ---
VASP calculation (PBE) on crystalline CaTaMo at its relaxed geometry.

Cell: 4.6023 4.6023 4.6023 Å, 60.00 60.00 60.00°
Sites, in units of the cell vectors:
Ca (0.0000, 0.0000, 0.0000)
Ta (0.5000, 0.5000, 0.5000)
Mo (0.7500, 0.7500, 0.7500)

Results
Space-group type = No. 216
N(E_F) = 1.170 states/eV/atom

--- 4 ---
VASP calculation (PBE) on crystalline CaTaMo at its relaxed geometry.

Cell: 3.5295 3.5295 11.4766 Å, 90.00 90.00 90.00°
Sites, in units of the cell vectors:
Ca (0.0000, 0.0000, 0.0000)
Ca (0.5000, 0.5000, 0.2788)
Ta (0.0000, 0.0000, 0.4748)
Ta (0.5000, 0.5000, 0.5740)
Mo (0.0000, 0.0000, 0.7168)
Mo (0.5000, 0.5000, 0.8063)

Results
Space-group type = No. 99
N(E_F) = 1.036 states/eV/atom

Which of them is the most stable? Correct choice: 4.

--- 1 ---
VASP calculation (PBE) on crystalline CaTcMo2 at its relaxed geometry.

Cell: 9.3105 9.3105 9.3105 Å, 149.93 149.93 43.05°
Sites, in units of the cell vectors:
Ca (0.0000, 0.0000, 0.0000)
Ca (0.7500, 0.2500, 0.5000)
Tc (0.2500, 0.7500, 0.5000)
Tc (0.5000, 0.5000, 0.0000)
Mo (0.3519, 0.6250, 0.2269)
Mo (0.3750, 0.6019, 0.7269)
Mo (0.3981, 0.1250, 0.7731)
Mo (0.8750, 0.6481, 0.2731)

Results
Space-group type = No. 122
N(E_F) = 1.078 states/eV/atom

--- 2 ---
VASP calculation (PBE) on crystalline CaTcMo2 at its relaxed geometry.

Cell: 5.1959 5.1959 5.3134 Å, 108.22 108.22 35.11°
Sites, in units of the cell vectors:
Ca (0.0000, 0.0000, 0.0000)
Tc (0.7770, 0.7770, 0.3319)
Mo (0.2131, 0.2131, 0.6587)
Mo (0.4949, 0.4949, 0.4930)

Results
Space-group type = No. 8
N(E_F) = 0.980 states/eV/atom

--- 3 ---
VASP calculation (PBE) on crystalline CaTcMo2 at its relaxed geometry.

Cell: 2.8102 2.8102 9.4825 Å, 90.00 90.00 109.29°
Sites, in units of the cell vectors:
Ca (0.0000, 0.0000, 0.0000)
Tc (0.5000, 0.5000, 0.2698)
Mo (0.0000, 0.0000, 0.4894)
Mo (0.5000, 0.5000, 0.7147)

Results
Space-group type = No. 35
N(E_F) = 0.976 states/eV/atom

--- 4 ---
VASP calculation (PBE) on crystalline CaTcMo2 at its relaxed geometry.

Cell: 5.4317 5.4317 5.4317 Å, 146.15 126.66 64.69°
Sites, in units of the cell vectors:
Ca (0.0000, 0.0000, 0.0000)
Tc (0.7315, 0.2315, 0.5000)
Mo (0.2745, 0.7745, 0.5000)
Mo (0.5050, 0.5050, 0.0000)

Results
Space-group type = No. 44
N(E_F) = 1.017 states/eV/atom

Which of them is the most stable? Correct choice: 3.

--- 1 ---
VASP calculation (PBE) on crystalline CaTcMo2 at its relaxed geometry.

Cell: 2.8006 2.8006 9.5876 Å, 90.00 90.00 109.18°
Sites, in units of the cell vectors:
Ca (0.0000, 0.0000, 0.0000)
Tc (0.0000, 0.0000, 0.5000)
Mo (0.5000, 0.5000, 0.2813)
Mo (0.5000, 0.5000, 0.7187)

Results
Space-group type = No. 65
N(E_F) = 1.024 states/eV/atom

--- 2 ---
VASP calculation (PBE) on crystalline CaTcMo2 at its relaxed geometry.

Cell: 5.5083 5.5083 5.5083 Å, 146.80 129.00 62.22°
Sites, in units of the cell vectors:
Ca (0.0000, 0.0000, 0.0000)
Tc (0.5000, 0.5000, 0.0000)
Mo (0.2720, 0.7720, 0.5000)
Mo (0.7280, 0.2280, 0.5000)

Results
Space-group type = No. 71
N(E_F) = 0.970 states/eV/atom

--- 3 ---
VASP calculation (PBE) on crystalline CaTcMo2 at its relaxed geometry.

Cell: 4.7075 4.7075 3.0946 Å, 90.00 90.00 90.00°
Sites, in units of the cell vectors:
Ca (0.0000, 0.0000, 0.0000)
Tc (0.5000, 0.5000, 0.0000)
Mo (0.0000, 0.5000, 0.5000)
Mo (0.5000, 0.0000, 0.5000)

Results
Space-group type = No. 123
N(E_F) = 1.233 states/eV/atom

--- 4 ---
VASP calculation (PBE) on crystalline CaTcMo2 at its relaxed geometry.

Cell: 5.4800 5.4800 5.4800 Å, 139.01 139.01 59.36°
Sites, in units of the cell vectors:
Ca (0.0000, 0.0000, 0.0000)
Tc (0.5000, 0.5000, 0.0000)
Mo (0.2500, 0.7500, 0.5000)
Mo (0.7500, 0.2500, 0.5000)

Results
Space-group type = No. 139
N(E_F) = 0.925 states/eV/atom

Which of them is the most stable? Correct choice: 2.

--- 1 ---
VASP calculation (PBE) on crystalline CaTcMo2 at its relaxed geometry.

Cell: 9.9946 9.9946 9.9946 Å, 16.56 16.56 16.56°
Sites, in units of the cell vectors:
Ca (0.0000, 0.0000, 0.0000)
Tc (0.5000, 0.5000, 0.5000)
Mo (0.2405, 0.2405, 0.2405)
Mo (0.7595, 0.7595, 0.7595)

Results
Space-group type = No. 166
N(E_F) = 1.059 states/eV/atom

--- 2 ---
VASP calculation (PBE) on crystalline CaTcMo2 at its relaxed geometry.

Cell: 9.1390 9.1390 9.1390 Å, 19.55 19.55 19.55°
Sites, in units of the cell vectors:
Ca (0.0000, 0.0000, 0.0000)
Tc (0.7598, 0.7598, 0.7598)
Mo (0.2333, 0.2333, 0.2333)
Mo (0.4968, 0.4968, 0.4968)

Results
Space-group type = No. 160
N(E_F) = 1.123 states/eV/atom

Which of them is the most stable? Correct choice: 2.

--- 1 ---
VASP calculation (PBE) on crystalline CaTcMo2 at its relaxed geometry.

Cell: 5.2713 5.2713 5.1399 Å, 107.51 107.51 34.90°
Sites, in units of the cell vectors:
Ca (0.0000, 0.0000, 0.0000)
Tc (0.5000, 0.5000, 0.5000)
Mo (0.2139, 0.2139, 0.6613)
Mo (0.7861, 0.7861, 0.3387)

Results
Space-group type = No. 12
N(E_F) = 1.025 states/eV/atom

--- 2 ---
VASP calculation (PBE) on crystalline CaTcMo2 at its relaxed geometry.

Cell: 5.5407 5.5407 2.6983 Å, 98.73 98.73 119.49°
Sites, in units of the cell vectors:
Ca (0.0000, 0.0000, 0.0000)
Tc (0.5000, 0.5000, 0.0000)
Mo (0.0000, 0.5000, 0.5000)
Mo (0.5000, 0.0000, 0.5000)

Results
Space-group type = No. 12
N(E_F) = 0.990 states/eV/atom

Which of them is the most stable? Correct choice: 1.

--- 1 ---
VASP calculation (PBE) on crystalline CaTcMo2 at its relaxed geometry.

Cell: 2.8833 4.2962 6.1980 Å, 90.00 99.63 90.00°
Sites, in units of the cell vectors:
Ca (0.0000, 0.0000, 0.0000)
Tc (0.2538, 0.5000, 0.6939)
Mo (0.5029, 0.0000, 0.5086)
Mo (0.7540, 0.5000, 0.3181)

Results
Space-group type = No. 6
N(E_F) = 0.957 states/eV/atom

--- 2 ---
VASP calculation (PBE) on crystalline CaTcMo2 at its relaxed geometry.

Cell: 3.1304 4.6066 4.7741 Å, 90.00 90.00 90.00°
Sites, in units of the cell vectors:
Ca (0.0000, 0.0000, 0.0000)
Tc (0.5000, 0.5000, 0.0000)
Mo (0.0000, 0.5000, 0.5000)
Mo (0.5000, 0.0000, 0.5000)

Results
Space-group type = No. 47
N(E_F) = 1.173 states/eV/atom

--- 3 ---
VASP calculation (PBE) on crystalline CaTcMo2 at its relaxed geometry.

Cell: 3.8533 3.8533 4.7601 Å, 90.00 90.00 90.00°
Sites, in units of the cell vectors:
Ca (0.0000, 0.0000, 0.0000)
Tc (0.5000, 0.5000, 0.0000)
Mo (0.0000, 0.5000, 0.5000)
Mo (0.5000, 0.0000, 0.5000)

Results
Space-group type = No. 123
N(E_F) = 1.196 states/eV/atom

--- 4 ---
VASP calculation (PBE) on crystalline CaTcMo2 at its relaxed geometry.

Cell: 3.0038 4.0134 6.7007 Å, 90.00 98.93 90.00°
Sites, in units of the cell vectors:
Ca (0.0000, 0.0000, 0.0000)
Tc (0.0000, 0.0000, 0.5000)
Mo (0.4264, 0.5000, 0.6728)
Mo (0.5736, 0.5000, 0.3272)

Results
Space-group type = No. 10
N(E_F) = 0.949 states/eV/atom

Which of them is the most stable? Correct choice: 1.